[1]
DFT (PBE) results for a relaxed Na3Pb2Cl8 crystal.

Unit cell a=6.8182 b=8.1597 c=8.3011 alpha=119.44 beta=106.69 gamma=90.00
Atoms (fractional coordinates):
Na (0.5000, 0.0000, 0.0000)
Na (0.0000, 0.2549, 0.0000)
Na (0.0000, 0.7451, 0.0000)
Pb (0.6737, 0.7358, 0.4715)
Pb (0.3263, 0.2642, 0.5285)
Cl (0.1151, 0.3943, 0.7886)
Cl (0.8849, 0.6057, 0.2114)
Cl (0.0623, 0.8803, 0.7607)
Cl (0.9377, 0.1197, 0.2393)
Cl (0.4149, 0.8953, 0.2529)
Cl (0.4149, 0.3575, 0.2529)
Cl (0.5851, 0.6425, 0.7471)
Cl (0.5851, 0.1047, 0.7471)

Output
crystal system	monoclinic
E_form (uncorrected)	-1.297	eV per atom

=====

[2]
DFT (PBE) results for a relaxed Er2ThRh9 crystal.

Unit cell a=5.2628 b=5.2628 c=9.3006 alpha=73.57 beta=73.57 gamma=60.00
Atoms (fractional coordinates):
Er (0.8597, 0.8597, 0.4210)
Er (0.1403, 0.1403, 0.5790)
Th (0.0000, 0.0000, 0.0000)
Rh (0.6668, 0.6668, 0.9995)
Rh (0.3332, 0.3332, 0.0005)
Rh (0.5000, 0.5000, 0.5000)
Rh (0.4156, 0.4156, 0.2514)
Rh (0.9174, 0.4156, 0.2514)
Rh (0.4156, 0.9174, 0.2514)
Rh (0.5844, 0.5844, 0.7486)
Rh (0.5844, 0.0826, 0.7486)
Rh (0.0826, 0.5844, 0.7486)

Output
E	-90.28	eV per cell
crystal system	trigonal

=====

[3]
DFT (PBE) results for a relaxed La4RhS2Br crystal.

Unit cell a=4.1240 b=7.3945 c=7.4251 alpha=71.14 beta=90.00 gamma=90.00
Atoms (fractional coordinates):
La (0.0000, 0.7720, 0.7325)
La (0.0000, 0.2280, 0.2675)
La (0.5000, 0.7482, 0.2668)
La (0.5000, 0.2518, 0.7332)
Rh (0.0000, 0.5000, 0.5000)
S (0.0000, 0.0000, 0.0000)
S (0.5000, 0.0000, 0.5000)
Br (0.5000, 0.5000, 0.0000)

Output
crystal system	monoclinic
E_form (uncorrected)	-1.574	eV per atom

=====

[4]
DFT (PBE) results for a relaxed PmCrP2Ru crystal.

Unit cell a=4.0441 b=4.0441 c=5.7328 alpha=110.65 beta=110.65 gamma=90.00
Site moments in Bohr magnetons follow the coordinates.
Atoms (fractional coordinates):
Pm (0.0000, 0.0000, 0.0000)  0.03
Cr (0.7500, 0.2500, 0.5000)  1.70
P (0.6315, 0.6315, 0.2629)  -0.05
P (0.3685, 0.3685, 0.7371)  -0.05
Ru (0.2500, 0.7500, 0.5000)  0.02

Output
E	-38.88	eV per cell
crystal system	tetragonal

=====

[5]
DFT (PBE) results for a relaxed HfSc3Tc crystal.

Unit cell a=5.0591 b=5.0591 c=5.0591 alpha=90.00 beta=90.00 gamma=90.00
Site moments in Bohr magnetons follow the coordinates.
Atoms (fractional coordinates):
Sc (0.0000, 0.5000, 0.0000)  -0.01
Sc (0.0000, 0.0000, 0.5000)  -0.02
Sc (0.5000, 0.0000, 0.0000)  -0.07
Hf (0.0000, 0.0000, 0.0000)  0.06
Tc (0.5000, 0.5000, 0.5000)  2.84

Output
crystal system	cubic
energy relative to the lowest polymorph listed for this composition	1545	meV per atom

=====

[6]
DFT (PBE) results for a relaxed Nd2PuAsN5 crystal.

Unit cell a=3.5338 b=7.3519 c=10.4183 alpha=90.00 beta=90.00 gamma=103.91
Site moments in Bohr magnetons follow the coordinates.
Atoms (fractional coordinates):
Nd (0.8657, 0.7314, 0.8230)  0.02
Nd (0.1108, 0.2215, 0.6823)  0.01
Nd (0.1343, 0.2686, 0.3230)  0.02
Nd (0.8892, 0.7785, 0.1823)  0.01
Pu (0.7982, 0.5964, 0.5262)  3.70
Pu (0.2018, 0.4036, 0.0262)  3.70
As (0.5435, 0.0870, 0.9393)  -0.02
As (0.4565, 0.9130, 0.4393)  -0.02
N (0.3460, 0.6921, 0.0080)  -0.13
N (0.6746, 0.3493, 0.8802)  -0.11
N (0.4909, 0.9817, 0.7808)  -0.01
N (0.2880, 0.5759, 0.6615)  -0.16
N (0.9648, 0.9295, 0.5225)  -0.07
N (0.6540, 0.3079, 0.5080)  -0.13
N (0.3254, 0.6507, 0.3802)  -0.11
N (0.5091, 0.0183, 0.2808)  -0.01
N (0.7120, 0.4241, 0.1615)  -0.16
N (0.0352, 0.0705, 0.0225)  -0.07

Output
crystal system	orthorhombic
E_form (uncorrected)	-0.749	eV per atom

=====

[7]
DFT (PBE) results for a relaxed LiVAg2 crystal.

Unit cell a=2.7612 b=2.7612 c=10.1901 alpha=82.21 beta=82.21 gamma=60.00
Atoms (fractional coordinates):
Li (0.5000, 0.5000, 0.5000)
Ag (0.0897, 0.0897, 0.7310)
Ag (0.9103, 0.9103, 0.2690)
V (0.0000, 0.0000, 0.0000)

Output
crystal system	trigonal
energy relative to the lowest polymorph listed for this composition	96	meV per atom

=====

[8]
DFT (PBE) results for a relaxed LaIn5Ag crystal.

Unit cell a=4.8909 b=4.8909 c=7.7098 alpha=90.00 beta=90.00 gamma=90.00
Atoms (fractional coordinates):
La (0.0000, 0.0000, 0.0000)
In (0.5000, 0.0000, 0.7052)
In (0.0000, 0.5000, 0.7052)
In (0.5000, 0.5000, 0.0000)
In (0.0000, 0.5000, 0.2948)
In (0.5000, 0.0000, 0.2948)
Ag (0.0000, 0.0000, 0.5000)

Output
E	-23.44	eV per cell
crystal system	tetragonal